[1]
Compound: Sr2FeCl
Source: Alexandria via LeMat-Bulk
Functional: PBEsol
Structure: optimized geometry

Unit cell a=4.0042 b=3.9902 c=8.5155 alpha=103.62 beta=90.00 gamma=120.12
Closest atoms and distances in Å follow each position.
Positions (direct):
Sr 0.7460 0.4921 0.7399  3 Fe 3.03, 3 Cl 3.14
Sr 0.2540 0.5079 0.2601  3 Fe 3.03, 3 Cl 3.14
Fe 0.0000 0.0000 0.5000  6 Sr 3.03
Cl 0.5000 0.0000 0.0000  6 Sr 3.14

Results
symmetry	No. 12
VASP energy	-3.998	eV/atom
relative energy among the computed polymorphs	0.000	eV per atom
M_tot	2.1	μB/cell
raw formation energy	-0.33	eV per atom

=====

[2]
Compound: SrFe2Cl
Source: Alexandria via LeMat-Bulk
Functional: PBEsol
Structure: optimized geometry

Unit cell a=3.2569 b=3.2569 c=7.6741 alpha=90.00 beta=90.00 gamma=90.00
Closest atoms and distances in Å follow each position.
Positions (direct):
Sr 0.0000 0.0000 0.4952  4 Cl 2.88, 1 Fe 3.09
Fe 0.0000 0.0000 0.0921  4 Fe 2.43
Fe 0.5000 0.5000 0.1922  4 Fe 2.43
Cl 0.5000 0.5000 0.7205  4 Sr 2.88

Results
symmetry	No. 99
VASP energy	-5.464	eV/atom
relative energy among the computed polymorphs	0.039	eV per atom
M_tot	5.0	μB/cell
raw formation energy	-0.02	eV per atom